1.
Entry from Alexandria: As2BrCl at its PBEsol-relaxed geometry (SCAN).

The space group is Pm (No. 6) and the conventional cell measures 4.053, 3.813 and 7.281 Å, with angles of 90.00, 91.48 and 90.00 degrees. The asymmetric unit holds As at (0.000, 0.000, 0.000), As at (0.415, 0.500, 0.005), Br at (0.946, 0.000, 0.678) and Cl at (0.456, 0.500, 0.308).

Its volume is 28.1 Å³ per atom. For the total energy, the calculation gives -0.63576 hartree per atom. As for the formation energy from raw total energies: -0.345 eV per atom.

---

2.
Entry from Alexandria: Hf3CdSe at its PBEsol-relaxed geometry (SCAN).

The space group is Pm-3m (No. 221) and the conventional cell measures 5.100, 5.100 and 5.100 Å, with angles of 90.00, 90.00 and 90.00 degrees. The asymmetric unit holds Hf at (0.000, 0.000, 0.500), Cd at (0.000, 0.000, 0.000) and Se at (0.500, 0.500, 0.500).

Its volume is 26.5 Å³ per atom. For the total energy, the calculation gives -1.70796 hartree per atom. As for the formation energy from raw total energies: 1.226 eV per atom.

---

3.
Entry from Alexandria: Ca4Pb5 at its PBEsol-relaxed geometry (SCAN).

The space group is P6_3/mcm (No. 193) and the conventional cell measures 9.4658, 9.4658 and 6.7762 Å, with angles of 90.00, 90.00 and 120.00 degrees. The asymmetric unit holds Ca at (0.0000, 0.0000, 0.0000), Ca at (0.0000, 0.3632, 0.2500), Pb at (0.0000, 0.3073, 0.7500) and Pb at (0.3333, 0.6667, 0.0000).

Its energy relative to the elements is -5.2 eV/f.u. Its volume is 29.2 Å³ per atom. For the total energy, the calculation gives -1.72607 hartree per atom.

---

4.
Entry from Alexandria: La2HgRh at its PBEsol-relaxed geometry (SCAN).

The space group is Amm2 (No. 38) and the conventional cell measures 4.142, 4.539 and 11.070 Å, with angles of 90.00, 90.00 and 90.00 degrees. The asymmetric unit holds La at (0.000, 0.000, 0.000), La at (0.500, 0.000, 0.294), Hg at (0.500, 0.000, 0.587) and Rh at (0.000, 0.000, 0.770).

Its energy relative to the elements is -2.9 eV/f.u. Its volume is 26.0 Å³ per atom. For the total energy, the calculation gives -1.75548 hartree per atom.